[1]
VASP calculation (PBE-GGA) on FeGeMo4N2 after structural relaxation.

a b c (Å): 2.8892 2.8892 14.0227
angles (deg): 90.00 90.00 120.00
Space group P-6m2 (No. 187)
One atom of each set of equivalent atoms:
Fe: 0.0000 0.0000 0.0000
Ge: 0.6667 0.3333 0.5000
Mo: 0.0000 0.0000 0.3461
Mo: 0.6667 0.3333 0.1512
N: 0.3333 0.6667 0.2494

Computed properties:
Uncorrected energy, eV per cell: -72.5

***

[2]
VASP calculation (PBE-GGA) on NbFeGeMo after structural relaxation.

a b c (Å): 6.1791 6.1791 6.1791
angles (deg): 90.00 90.00 90.00
Space group F-43m (No. 216)
One atom of each set of equivalent atoms:
Nb: 0.0000 0.0000 0.0000
Fe: 0.2500 0.2500 0.7500
Ge: 0.0000 0.0000 0.5000
Mo: 0.2500 0.2500 0.2500

Computed properties:
Energy above the lowest structure with this stoichiometry, eV/atom: 0.000

***

[3]
VASP calculation (PBE-GGA) on FeGeMoPt after structural relaxation.

a b c (Å): 6.1548 6.1548 6.1548
angles (deg): 90.00 90.00 90.00
Space group F-43m (No. 216)
One atom of each set of equivalent atoms:
Fe: 0.0000 0.0000 0.0000
Ge: 0.2500 0.2500 0.7500
Mo: 0.0000 0.0000 0.5000
Pt: 0.2500 0.2500 0.2500

Computed properties:
Energy above the lowest structure with this stoichiometry, eV/atom: 0.000

***

[4]
VASP calculation (PBE-GGA) on FeGeMoPt after structural relaxation.

a b c (Å): 6.1783 6.1783 6.1783
angles (deg): 90.00 90.00 90.00
Space group F-43m (No. 216)
One atom of each set of equivalent atoms:
Fe: 0.0000 0.0000 0.0000
Ge: 0.2500 0.2500 0.7500
Mo: 0.2500 0.2500 0.2500
Pt: 0.0000 0.0000 0.5000

Computed properties:
Energy above the lowest structure with this stoichiometry, eV/atom: 0.156

***

[5]
VASP calculation (PBE-GGA) on ScFeGeMo after structural relaxation.

a b c (Å): 6.2271 6.2271 6.2271
angles (deg): 90.00 90.00 90.00
Space group F-43m (No. 216)
One atom of each set of equivalent atoms:
Sc: 0.0000 0.0000 0.0000
Fe: 0.2500 0.2500 0.7500
Ge: 0.0000 0.0000 0.5000
Mo: 0.2500 0.2500 0.2500

Computed properties:
Energy above the lowest structure with this stoichiometry, eV/atom: 0.000

***

[6]
VASP calculation (PBE-GGA) on FeGeMoW after structural relaxation.

a b c (Å): 6.1025 6.1025 6.1025
angles (deg): 90.00 90.00 90.00
Space group F-43m (No. 216)
One atom of each set of equivalent atoms:
Fe: 0.0000 0.0000 0.0000
Ge: 0.2500 0.2500 0.7500
Mo: 0.0000 0.0000 0.5000
W: 0.2500 0.2500 0.2500

Computed properties:
Energy above the lowest structure with this stoichiometry, eV/atom: 0.000

***

[7]
VASP calculation (PBE-GGA) on YFeGeMo after structural relaxation.

a b c (Å): 6.5312 6.5312 6.5312
angles (deg): 90.00 90.00 90.00
Space group F-43m (No. 216)
One atom of each set of equivalent atoms:
Y: 0.0000 0.0000 0.0000
Fe: 0.0000 0.0000 0.5000
Ge: 0.2500 0.2500 0.2500
Mo: 0.2500 0.2500 0.7500

Computed properties:
Energy above the lowest structure with this stoichiometry, eV/atom: 0.124

***

[8]
VASP calculation (PBE-GGA) on YFeGeMo after structural relaxation.

a b c (Å): 6.4353 6.4353 6.4353
angles (deg): 90.00 90.00 90.00
Space group F-43m (No. 216)
One atom of each set of equivalent atoms:
Y: 0.0000 0.0000 0.0000
Fe: 0.2500 0.2500 0.7500
Ge: 0.0000 0.0000 0.5000
Mo: 0.2500 0.2500 0.2500

Computed properties:
Energy above the lowest structure with this stoichiometry, eV/atom: 0.000